# 1
The following is a GGA-PBE calculation of a geometry-optimized Ac2ScGeO6 structure, from Alexandria.

POSCAR file:
```
Ac2ScGeO6
1.0
-4.460 1.581 -3.349
-2.648 -5.026 1.154
-3.646 3.405 6.463
Ac Sc Ge O
4 2 2 12
Direct
0.500 0.750 0.250
0.000 0.250 0.750
0.500 0.750 0.750
0.000 0.250 0.250
0.000 0.750 0.500
0.500 0.250 0.000
0.500 0.250 0.500
0.000 0.750 0.000
0.500 0.250 0.253
0.500 0.250 0.747
0.000 0.750 0.247
0.000 0.750 0.753
0.253 0.003 0.500
0.747 0.003 0.500
0.253 0.497 0.500
0.747 0.497 0.500
0.753 0.503 0.000
0.247 0.503 0.000
0.247 0.997 0.000
0.753 0.997 0.000
```

Properties
- formation energy (no corrections) (eV/atom) = -2.7667

---

# 2
The following is a GGA-PBE calculation of a geometry-optimized AcScGeO structure, from Alexandria.

POSCAR file:
```
AcScGeO
1.0
-0.484 2.894 -3.264
-3.073 -0.326 3.117
5.533 8.022 6.294
Ac Sc Ge O
2 2 2 2
Direct
0.333 0.667 0.924
0.667 0.333 0.424
0.000 0.000 0.161
0.000 0.000 0.661
0.667 0.333 0.737
0.333 0.667 0.237
0.000 0.000 0.490
0.000 0.000 0.990
```

Properties
- formation energy (no corrections) (eV/atom) = -1.8369

---

# 3
The following is a GGA-PBE calculation of a geometry-optimized Ac2Sc4Ge3O2 structure, from Alexandria.

POSCAR file:
```
Ac2Sc4Ge3O2
1.0
4.381 0.000 0.000
0.000 4.381 0.000
-2.191 -2.191 12.204
Ac Sc Ge O
2 4 3 2
Direct
0.306 0.306 0.612
0.694 0.694 0.388
0.426 0.926 0.852
0.926 0.426 0.852
0.074 0.574 0.148
0.574 0.074 0.148
0.000 0.000 0.000
0.157 0.157 0.314
0.843 0.843 0.686
0.418 0.418 0.836
0.582 0.582 0.164
```

Properties
- formation energy (no corrections) (eV/atom) = -1.6074

---

# 4
The following is a GGA-PBE calculation of a geometry-optimized AcGeSe2O structure, from Alexandria.

POSCAR file:
```
AcGeSe2O
1.0
4.135 0.000 0.000
0.000 4.135 0.000
0.000 0.000 13.521
Ac Ge Se O
2 2 4 2
Direct
0.500 0.000 0.599
0.000 0.500 0.401
0.500 0.000 0.099
0.000 0.500 0.901
0.000 0.500 0.720
0.000 0.500 0.104
0.500 0.000 0.896
0.500 0.000 0.280
0.000 0.000 0.500
0.500 0.500 0.500
```

Properties
- formation energy (no corrections) (eV/atom) = -1.5571

---

# 5
The following is a GGA-PBE calculation of a geometry-optimized AcSmGeO5 structure, from Alexandria.

POSCAR file:
```
AcSmGeO5
1.0
-4.855 1.240 -3.543
4.616 -1.791 -3.625
-2.122 -6.722 3.259
Ac Sm Ge O
2 2 2 10
Direct
0.336 0.664 0.250
0.664 0.336 0.750
0.000 0.000 0.500
0.000 0.000 0.000
0.679 0.321 0.250
0.321 0.679 0.750
0.106 0.894 0.250
0.894 0.106 0.750
0.905 0.334 0.134
0.095 0.666 0.866
0.666 0.095 0.366
0.334 0.905 0.634
0.727 0.591 0.418
0.273 0.409 0.582
0.409 0.273 0.082
0.591 0.727 0.918
```

Properties
- formation energy (no corrections) (eV/atom) = -2.8004

---

# 6
The following is a GGA-PBE calculation of a geometry-optimized SrAc2GeO5 structure, from Alexandria.

POSCAR file:
```
SrAc2GeO5
1.0
6.229 0.000 0.000
0.000 7.116 0.000
0.000 0.000 7.116
Sr Ac Ge O
2 4 2 10
Direct
0.000 0.500 0.500
0.000 0.000 0.000
0.500 0.672 0.172
0.500 0.172 0.328
0.500 0.828 0.672
0.500 0.328 0.828
0.000 0.000 0.500
0.000 0.500 0.000
0.500 0.500 0.500
0.500 0.000 0.000
0.242 0.147 0.647
0.242 0.853 0.353
0.242 0.353 0.147
0.242 0.647 0.853
0.758 0.147 0.647
0.758 0.647 0.853
0.758 0.853 0.353
0.758 0.353 0.147
```

Properties
- formation energy (no corrections) (eV/atom) = -2.4442

---

> Look up the formation energy (no corrections) of the fifth one.

-2.8004 eV/atom